Density functional theory data (PBE) for ZrSc2Ir after structural relaxation.

a = 5.844 Å, b = 9.174 Å, c = 3.063 Å
α = 90.00°, β = 109.14°, γ = 90.00°
Positions (direct):
Zr (0.000, 0.000, 0.000)
Zr (0.500, 0.500, 0.000)
Sc (0.250, 0.250, 0.500)
Sc (0.250, 0.750, 0.500)
Sc (0.750, 0.250, 0.500)
Sc (0.750, 0.750, 0.500)
Ir (0.000, 0.500, 0.000)
Ir (0.500, 0.000, 0.000)

Results
* formation enthalpy at 0 K: -0.248 eV per atom
* space-group type: C2/m (12)


Density functional theory data (PBE) for ZrSc2Ir3 after structural relaxation.

a = 4.470 Å, b = 13.392 Å, c = 3.476 Å
α = 90.00°, β = 90.00°, γ = 90.00°
Positions (direct):
Zr (0.000, 0.000, 0.000)
Zr (0.500, 0.500, 0.000)
Sc (0.000, 0.331, 0.000)
Sc (0.000, 0.669, 0.000)
Sc (0.500, 0.169, 0.000)
Sc (0.500, 0.831, 0.000)
Ir (0.000, 0.166, 0.500)
Ir (0.000, 0.500, 0.500)
Ir (0.000, 0.834, 0.500)
Ir (0.500, 0.000, 0.500)
Ir (0.500, 0.334, 0.500)
Ir (0.500, 0.666, 0.500)

Results
* formation enthalpy at 0 K: -0.940 eV per atom
* space-group type: Cmmm (65)


Density functional theory data (PBE) for ZrSc2Ir after structural relaxation.

a = 3.473 Å, b = 11.186 Å, c = 8.710 Å
α = 90.00°, β = 90.00°, γ = 90.00°
Positions (direct):
Zr (0.000, 0.061, 0.250)
Zr (0.000, 0.939, 0.750)
Zr (0.500, 0.439, 0.750)
Zr (0.500, 0.561, 0.250)
Sc (0.000, 0.365, 0.062)
Sc (0.000, 0.365, 0.438)
Sc (0.000, 0.635, 0.562)
Sc (0.000, 0.635, 0.938)
Sc (0.500, 0.135, 0.562)
Sc (0.500, 0.135, 0.938)
Sc (0.500, 0.865, 0.062)
Sc (0.500, 0.865, 0.438)
Ir (0.000, 0.251, 0.750)
Ir (0.000, 0.749, 0.250)
Ir (0.500, 0.249, 0.250)
Ir (0.500, 0.751, 0.750)

Results
* formation enthalpy at 0 K: -0.541 eV per atom
* space-group type: Cmcm (63)


Density functional theory data (PBE) for Zr2ScIr after structural relaxation.

a = 3.313 Å, b = 3.313 Å, c = 7.456 Å
α = 90.00°, β = 90.00°, γ = 90.00°
Positions (direct):
Zr (0.000, 0.000, 0.000)
Zr (0.500, 0.500, 0.278)
Sc (0.500, 0.500, 0.704)
Ir (0.000, 0.000, 0.492)

Results
* formation enthalpy at 0 K: -0.461 eV per atom
* space-group type: P4mm (99)


What excess energy over the best structure of this formula in the dataset values result from the calculations? In sequence: 295; 9; 1; 29 meV per atom.